No. 1
PBE-GGA La3Pm7Y, optimized geometry; space group = Immm (71); electronic total energy = -4.723 eV per atom; energy above the lowest structure with this stoichiometry = 17 meV per atom; total magnetization = 0.1 μB/f.u.; energy relative to the elements = 232 meV/atom; density = 6402 kg/m3; D(E_F) = 16.6 states/eV per cell
1.0
5.989 -0.194 -0.249
-2.693 8.137 1.143
-2.693 -0.864 8.171
Y Pm La
1 7 3
Cartesian
0.301 3.539 4.533 Y
0.127 1.469 1.882 Pm
0.181 -0.557 4.805 Pm
0.476 5.610 7.184 Pm
0.422 7.636 4.261 Pm
0.422 2.282 8.441 Pm
0.181 4.797 0.624 Pm
-2.693 3.637 4.657 Pm
-2.693 6.217 2.643 La
2.995 -0.097 -0.125 La
-2.693 1.057 6.672 La


No. 2
PBE-GGA La7PmY12, optimized geometry; space group = R-3 (148); electronic total energy = -5.620 eV per atom; energy above the lowest structure with this stoichiometry = 0 meV per atom; total magnetization = 0.0 μB/f.u.; energy relative to the elements = 221 meV/atom; density = 5157 kg/m3; D(E_F) = 39.5 states/eV per cell
1.0
-0.901 3.462 8.163
-3.128 -7.564 3.527
8.024 -2.765 2.722
La Y Pm
7 12 1
Cartesian
-0.717 -2.647 2.932 La
1.998 -3.433 7.206 La
3.311 -7.161 10.467 La
4.712 -4.220 11.480 La
2.580 -2.026 2.314 La
0.685 0.294 3.945 La
1.415 -4.840 12.098 La
-1.285 -3.325 6.608 Y
5.280 -3.541 7.804 Y
3.276 -4.996 4.547 Y
0.720 -1.870 9.865 Y
4.259 -0.957 9.868 Y
3.008 -0.268 6.874 Y
-0.384 0.116 7.448 Y
-1.300 -4.672 9.639 Y
-0.263 -5.909 4.544 Y
5.295 -2.194 4.773 Y
0.988 -6.598 7.538 Y
4.380 -6.982 6.963 Y
0.000 0.000 0.000 Pm


No. 3
PBE-GGA LaPm12Y7, optimized geometry; space group = R-3m (166); electronic total energy = -5.264 eV per atom; total magnetization = 3.0 μB/f.u.; energy relative to the elements = 95 meV/atom; density = 6098 kg/m3; D(E_F) = 37.6 states/eV per cell
1.0
-0.975 -6.612 -5.885
8.780 1.217 -0.859
0.090 -4.890 7.442
Pm Y La
12 7 1
Cartesian
4.805 -8.382 -1.136 Pm
1.670 -6.742 2.524 Pm
1.391 -7.194 -0.968 Pm
6.224 -3.542 -1.826 Pm
7.431 -6.274 0.217 Pm
3.089 -1.903 1.834 Pm
4.226 -4.691 3.841 Pm
5.092 -7.918 2.452 Pm
0.464 -4.010 0.481 Pm
6.503 -3.091 1.666 Pm
3.668 -5.594 -3.143 Pm
2.803 -2.366 -1.753 Pm
7.644 -5.558 3.914 Y
0.845 -3.765 4.225 Y
7.050 -6.520 -3.527 Y
2.199 -9.929 1.107 Y
5.696 -0.355 -0.409 Y
0.250 -4.726 -3.215 Y
3.947 -5.142 0.349 Y
0.000 0.000 0.000 La


No. 4
PBE-GGA La2Pm6Y, optimized geometry; space group = P-6m2 (187); electronic total energy = -4.920 eV per atom; energy above the lowest structure with this stoichiometry = 41 meV per atom; total magnetization = 0.0 μB/f.u.; energy relative to the elements = 60 meV/atom; density = 6490 kg/m3; D(E_F) = 16.0 states/eV per cell
1.0
-1.907 -2.939 1.070
3.655 0.000 0.244
-1.684 10.259 25.174
Pm La Y
6 2 1
Cartesian
0.478 7.078 20.291 Pm
1.063 3.514 11.544 Pm
0.854 4.787 14.669 Pm
-0.233 -0.863 3.485 Pm
1.439 1.222 5.922 Pm
-1.557 7.204 23.279 Pm
-1.182 4.921 17.678 La
-0.608 1.420 9.086 La
1.801 -0.979 0.520 Y